DFT (PBE-GGA) results for a relaxed RbNbS3 crystal. Values from VASP.

Quantum ESPRESSO input file:
```
&SYSTEM
  ibrav = 0, nat = 5, ntyp = 3
/
ATOMIC_SPECIES
Rb 85.47 Rb.upf
Nb 92.91 Nb.upf
S 32.06 S.upf
ATOMIC_POSITIONS angstrom
Rb 0.000 0.000 0.000
Nb 2.653 2.653 2.653
S 0.000 0.000 2.653
S 0.000 2.653 0.000
S 2.653 0.000 0.000
CELL_PARAMETERS angstrom
5.307 0.000 0.000
0.000 5.307 0.000
0.000 0.000 5.307
```

Computed properties:
Crystal system   cubic
Density of states at the Fermi level   4.3 states/eV/f.u.
Size of the total moment   0.1858 μB per atom
Formation energy (no corrections)   1.67 eV/atom
Energy relative to the lowest polymorph listed for this composition   265.3 kJ/mol of atoms
Space group   No. 221


DFT (PBE-GGA) results for a relaxed RbNbS3 crystal. Values from VASP.

Quantum ESPRESSO input file:
```
&SYSTEM
  ibrav = 0, nat = 20, ntyp = 3
/
ATOMIC_SPECIES
Rb 85.47 Rb.upf
Nb 92.91 Nb.upf
S 32.06 S.upf
ATOMIC_POSITIONS angstrom
Rb -2.697 1.169 4.124
Rb -7.019 1.831 9.067
Rb 8.221 4.170 0.818
Rb 3.899 4.831 5.761
Nb -3.100 0.443 8.229
Nb 1.222 2.557 3.287
Nb -0.020 3.444 6.598
Nb 4.302 5.557 1.656
S -0.033 1.168 2.058
S -4.354 1.832 7.000
S -0.506 3.963 4.250
S -4.827 5.038 9.192
S 2.102 4.100 1.824
S -2.219 4.901 6.766
S 3.421 1.100 3.119
S -0.900 1.901 8.061
S 6.029 0.963 0.692
S 1.708 2.037 5.635
S 5.556 4.169 2.885
S 1.235 4.832 7.827
CELL_PARAMETERS angstrom
9.844 0.000 0.000
0.000 6.001 0.000
-8.642 0.000 9.885
```

Computed properties:
Crystal system   monoclinic
Density of states at the Fermi level   0.0 states/eV/f.u.
Size of the total moment   0.0000 μB per atom
Formation energy (no corrections)   -1.02 eV/atom
Energy relative to the lowest polymorph listed for this composition   6.2 kJ/mol of atoms
Space group   No. 14


DFT (PBE-GGA) results for a relaxed Rb2NbS3 crystal. Values from VASP.

Quantum ESPRESSO input file:
```
&SYSTEM
  ibrav = 0, nat = 24, ntyp = 3
/
ATOMIC_SPECIES
Rb 85.47 Rb.upf
Nb 92.91 Nb.upf
S 32.06 S.upf
ATOMIC_POSITIONS angstrom
Rb 0.263 1.031 2.293
Rb 2.088 1.031 7.623
Rb 4.569 3.093 0.597
Rb 6.394 3.093 9.319
Rb 6.921 1.031 4.733
Rb 8.746 1.031 13.455
Rb 11.227 3.093 6.429
Rb 13.052 3.093 11.759
Nb 3.260 3.093 4.470
Nb 3.397 1.031 11.496
Nb 9.918 3.093 2.556
Nb 10.055 1.031 9.582
S 1.030 3.093 4.978
S 2.006 1.031 13.307
S 2.948 3.093 10.240
S 3.710 1.031 3.214
S 4.652 3.093 6.281
S 5.628 1.031 12.003
S 7.688 3.093 2.048
S 8.663 1.031 7.771
S 9.605 3.093 10.838
S 10.367 1.031 3.812
S 11.309 3.093 0.745
S 12.285 1.031 9.074
CELL_PARAMETERS angstrom
13.315 0.000 0.000
0.000 4.124 0.000
0.000 0.000 14.052
```

Computed properties:
Crystal system   orthorhombic
Density of states at the Fermi level   1.3 states/eV/f.u.
Size of the total moment   0.1696 μB per atom
Formation energy (no corrections)   -1.08 eV/atom
Space group   No. 62


DFT (PBE-GGA) results for a relaxed RbNbS3 crystal. Values from VASP.

Quantum ESPRESSO input file:
```
&SYSTEM
  ibrav = 0, nat = 20, ntyp = 3
/
ATOMIC_SPECIES
Rb 85.47 Rb.upf
Nb 92.91 Nb.upf
S 32.06 S.upf
ATOMIC_POSITIONS angstrom
Rb 5.787 5.586 5.463
Rb 6.570 2.441 1.821
Rb 5.787 -2.441 5.463
Rb 6.570 -5.586 1.821
Nb 2.808 1.125 5.427
Nb 3.591 -1.125 1.785
Nb 8.766 1.125 5.499
Nb 9.549 -1.125 1.857
S 0.632 1.403 5.033
S 3.636 3.073 6.055
S 1.415 -1.403 1.391
S 4.073 0.467 3.509
S 3.290 -0.467 7.151
S 7.937 3.073 4.872
S 4.420 -3.073 2.413
S 9.067 0.467 0.133
S 8.284 -0.467 3.776
S 10.942 1.403 5.893
S 8.720 -3.073 1.229
S 11.725 -1.403 2.251
CELL_PARAMETERS angstrom
6.962 -7.019 0.000
6.962 7.019 0.000
-1.567 0.000 7.284
```

Computed properties:
Crystal system   monoclinic
Density of states at the Fermi level   0.0 states/eV/f.u.
Size of the total moment   0.0000 μB per atom
Formation energy (no corrections)   -0.99 eV/atom
Energy relative to the lowest polymorph listed for this composition   8.8 kJ/mol of atoms
Space group   No. 15


DFT (PBE-GGA) results for a relaxed RbNbS3 crystal. Values from VASP.

Quantum ESPRESSO input file:
```
&SYSTEM
  ibrav = 0, nat = 5, ntyp = 3
/
ATOMIC_SPECIES
Rb 85.47 Rb.upf
Nb 92.91 Nb.upf
S 32.06 S.upf
ATOMIC_POSITIONS angstrom
Rb 0.000 0.000 0.000
Nb 0.000 0.000 8.944
S -1.775 -1.025 9.797
S 1.775 -1.025 9.797
S 0.000 2.049 9.797
CELL_PARAMETERS angstrom
4.421 2.552 4.252
-4.421 2.552 4.252
0.000 -5.105 4.252
```

Computed properties:
Crystal system   trigonal
Density of states at the Fermi level   0.0 states/eV/f.u.
Size of the total moment   0.0000 μB per atom
Formation energy (no corrections)   -0.56 eV/atom
Energy relative to the lowest polymorph listed for this composition   50.4 kJ/mol of atoms
Space group   No. 160


DFT (PBE-GGA) results for a relaxed RbNbS3 crystal. Values from VASP.

Quantum ESPRESSO input file:
```
&SYSTEM
  ibrav = 0, nat = 10, ntyp = 3
/
ATOMIC_SPECIES
Rb 85.47 Rb.upf
Nb 92.91 Nb.upf
S 32.06 S.upf
ATOMIC_POSITIONS angstrom
Rb 0.000 0.000 0.000
Rb 0.000 0.000 9.010
Nb 0.000 2.488 4.505
Nb 2.155 1.244 13.516
S 0.000 0.000 4.505
S 0.000 0.000 13.516
S 0.000 2.488 2.183
S 0.000 2.488 6.828
S 2.155 1.244 11.193
S 2.155 1.244 15.838
CELL_PARAMETERS angstrom
4.309 0.000 0.000
-2.155 3.732 0.000
0.000 0.000 18.021
```

Computed properties:
Crystal system   hexagonal
Density of states at the Fermi level   4.6 states/eV/f.u.
Size of the total moment   0.0179 μB per atom
Formation energy (no corrections)   -0.65 eV/atom
Energy relative to the lowest polymorph listed for this composition   41.9 kJ/mol of atoms
Space group   No. 194


DFT (PBE-GGA) results for a relaxed RbNbS3 crystal. Values from VASP.

Quantum ESPRESSO input file:
```
&SYSTEM
  ibrav = 0, nat = 20, ntyp = 3
/
ATOMIC_SPECIES
Rb 85.47 Rb.upf
Nb 92.91 Nb.upf
S 32.06 S.upf
ATOMIC_POSITIONS angstrom
Rb 0.000 0.000 0.000
Rb 3.277 3.277 0.000
Rb 3.277 0.000 3.277
Rb 0.000 3.277 3.277
Nb 6.555 3.277 3.277
Nb 3.277 6.555 3.277
Nb 3.277 3.277 6.555
Nb 6.555 6.555 6.555
S 4.916 4.916 2.471
S 4.916 2.471 4.916
S 7.361 4.916 4.916
S 8.193 8.193 5.748
S 8.193 5.748 8.193
S 10.639 8.193 8.193
S 2.471 4.916 4.916
S 4.916 7.361 4.916
S 4.916 4.916 7.361
S 5.748 8.193 8.193
S 8.193 10.639 8.193
S 8.193 8.193 10.639
CELL_PARAMETERS angstrom
0.000 6.555 6.555
6.555 0.000 6.555
6.555 6.555 0.000
```

Computed properties:
Crystal system   cubic
Density of states at the Fermi level   0.0 states/eV/f.u.
Size of the total moment   0.0000 μB per atom
Formation energy (no corrections)   -0.90 eV/atom
Energy relative to the lowest polymorph listed for this composition   17.3 kJ/mol of atoms
Space group   No. 227


DFT (PBE-GGA) results for a relaxed RbNbS3 crystal. Values from VASP.

Quantum ESPRESSO input file:
```
&SYSTEM
  ibrav = 0, nat = 5, ntyp = 3
/
ATOMIC_SPECIES
Rb 85.47 Rb.upf
Nb 92.91 Nb.upf
S 32.06 S.upf
ATOMIC_POSITIONS angstrom
Rb 0.000 0.000 0.000
Nb 1.947 1.947 4.163
S 0.000 0.000 5.374
S 0.000 1.947 2.659
S 1.947 0.000 2.659
CELL_PARAMETERS angstrom
3.894 0.000 0.000
0.000 3.894 0.000
0.000 0.000 8.488
```

Computed properties:
Crystal system   tetragonal
Density of states at the Fermi level   2.2 states/eV/f.u.
Size of the total moment   0.1775 μB per atom
Formation energy (no corrections)   -0.42 eV/atom
Energy relative to the lowest polymorph listed for this composition   64.5 kJ/mol of atoms
Space group   No. 99


DFT (PBE-GGA) results for a relaxed RbNbS3 crystal. Values from VASP.

Quantum ESPRESSO input file:
```
&SYSTEM
  ibrav = 0, nat = 5, ntyp = 3
/
ATOMIC_SPECIES
Rb 85.47 Rb.upf
Nb 92.91 Nb.upf
S 32.06 S.upf
ATOMIC_POSITIONS angstrom
Rb 0.000 0.000 0.000
Nb 2.115 0.000 3.774
S 0.000 0.000 4.922
S 2.115 -1.770 2.424
S 2.115 1.770 2.424
CELL_PARAMETERS angstrom
4.231 0.000 0.000
0.000 3.972 4.351
0.000 -3.972 4.351
```

Computed properties:
Crystal system   orthorhombic
Density of states at the Fermi level   0.0 states/eV/f.u.
Size of the total moment   0.0000 μB per atom
Formation energy (no corrections)   -0.99 eV/atom
Energy relative to the lowest polymorph listed for this composition   9.1 kJ/mol of atoms
Space group   No. 38


DFT (PBE-GGA) results for a relaxed RbNbS3 crystal. Values from VASP.

Quantum ESPRESSO input file:
```
&SYSTEM
  ibrav = 0, nat = 20, ntyp = 3
/
ATOMIC_SPECIES
Rb 85.47 Rb.upf
Nb 92.91 Nb.upf
S 32.06 S.upf
ATOMIC_POSITIONS angstrom
Rb 1.781 0.787 1.636
Rb 1.727 5.803 4.841
Rb 5.524 7.376 1.569
Rb 5.470 12.393 4.774
Nb 1.852 9.272 1.176
Nb 1.797 10.497 4.381
Nb 5.454 2.682 2.029
Nb 5.399 3.907 5.233
S 0.109 9.485 5.699
S 0.164 10.284 2.494
S 1.826 7.083 1.638
S 1.772 12.686 4.843
S 3.463 9.555 5.795
S 3.517 10.214 2.590
S 3.734 2.965 3.820
S 3.788 3.625 0.615
S 5.479 0.493 1.566
S 5.425 6.097 4.771
S 7.087 2.895 3.916
S 7.142 3.694 0.711
CELL_PARAMETERS angstrom
7.360 0.000 0.000
0.000 13.179 0.000
-0.109 0.000 6.410
```

Computed properties:
Crystal system   monoclinic
Size of the total moment   0.0000 μB per atom
Formation energy (no corrections)   -1.08 eV/atom
Energy relative to the lowest polymorph listed for this composition   0.1 kJ/mol of atoms
Space group   No. 14


DFT (PBE-GGA) results for a relaxed RbNb2S4 crystal. Values from VASP.

Quantum ESPRESSO input file:
```
&SYSTEM
  ibrav = 0, nat = 14, ntyp = 3
/
ATOMIC_SPECIES
Rb 85.47 Rb.upf
Nb 92.91 Nb.upf
S 32.06 S.upf
ATOMIC_POSITIONS angstrom
Rb 1.870 4.779 9.552
Rb 1.870 -4.779 3.184
Nb 1.870 1.474 7.186
Nb 1.870 1.474 11.918
Nb 1.870 -1.474 0.818
Nb 1.870 -1.474 5.550
S 0.000 0.000 0.000
S 0.000 0.000 6.368
S 1.870 3.017 1.213
S 1.870 3.017 5.154
S 1.870 1.075 9.552
S 1.870 -1.075 3.184
S 1.870 -3.017 7.581
S 1.870 -3.017 11.522
CELL_PARAMETERS angstrom
1.870 -6.224 0.000
1.870 6.224 0.000
0.000 0.000 12.736
```

Computed properties:
Crystal system   orthorhombic
Density of states at the Fermi level   4.5 states/eV/f.u.
Size of the total moment   0.0004 μB per atom
Formation energy (no corrections)   -0.91 eV/atom
Energy relative to the lowest polymorph listed for this composition   15.8 kJ/mol of atoms
Space group   No. 63


DFT (PBE-GGA) results for a relaxed Rb2Nb2S crystal. Values from VASP.

Quantum ESPRESSO input file:
```
&SYSTEM
  ibrav = 0, nat = 5, ntyp = 3
/
ATOMIC_SPECIES
Rb 85.47 Rb.upf
Nb 92.91 Nb.upf
S 32.06 S.upf
ATOMIC_POSITIONS angstrom
Rb 2.170 0.000 4.218
Rb 0.000 2.170 4.218
Nb 0.000 0.000 1.068
Nb 0.000 0.000 15.805
S 0.000 0.000 8.436
CELL_PARAMETERS angstrom
-2.170 2.170 8.436
2.170 -2.170 8.436
2.170 2.170 -8.436
```

Computed properties:
Crystal system   tetragonal
Density of states at the Fermi level   5.9 states/eV/f.u.
Size of the total moment   0.0000 μB per atom
Formation energy (no corrections)   1.41 eV/atom
Energy relative to the lowest polymorph listed for this composition   97.7 kJ/mol of atoms
Space group   No. 139


Number 7 is which compound? RbNbS3


Please write out number 11 again, unchanged.
DFT (PBE-GGA) results for a relaxed RbNb2S4 crystal. Values from VASP.

Quantum ESPRESSO input file:
```
&SYSTEM
  ibrav = 0, nat = 14, ntyp = 3
/
ATOMIC_SPECIES
Rb 85.47 Rb.upf
Nb 92.91 Nb.upf
S 32.06 S.upf
ATOMIC_POSITIONS angstrom
Rb 1.870 4.779 9.552
Rb 1.870 -4.779 3.184
Nb 1.870 1.474 7.186
Nb 1.870 1.474 11.918
Nb 1.870 -1.474 0.818
Nb 1.870 -1.474 5.550
S 0.000 0.000 0.000
S 0.000 0.000 6.368
S 1.870 3.017 1.213
S 1.870 3.017 5.154
S 1.870 1.075 9.552
S 1.870 -1.075 3.184
S 1.870 -3.017 7.581
S 1.870 -3.017 11.522
CELL_PARAMETERS angstrom
1.870 -6.224 0.000
1.870 6.224 0.000
0.000 0.000 12.736
```

Computed properties:
Crystal system   orthorhombic
Density of states at the Fermi level   4.5 states/eV/f.u.
Size of the total moment   0.0004 μB per atom
Formation energy (no corrections)   -0.91 eV/atom
Energy relative to the lowest polymorph listed for this composition   15.8 kJ/mol of atoms
Space group   No. 63


size of the total moment of number 12 (Rb2Nb2S)? 0.0000 μB per atom